FeAgPdF6: relaxed, PBE+U. Values from VASP.

Values from the calculation:
The calculation puts the magnetic moment at 13.8 Bohr magnetons per cell. As for the crystal system: tetragonal. The total energy comes out at -4.417 eV/atom.

Structure (Quantum ESPRESSO input):
```
&SYSTEM
  ibrav = 0, nat = 18, ntyp = 4
/
ATOMIC_SPECIES
Fe 55.84 Fe.upf
Ag 107.87 Ag.upf
Pd 106.42 Pd.upf
F 19.00 F.upf
CELL_PARAMETERS angstrom
5.1194 0.0000 0.0000
0.0000 5.1194 0.0000
0.0000 0.0000 10.0745
ATOMIC_POSITIONS crystal
Fe 0.0000 0.0000 0.0000
Fe 0.5000 0.5000 0.5000
Ag 0.0000 0.0000 0.3360
Ag 0.5000 0.5000 0.8360
Pd 0.0000 0.0000 0.6624
Pd 0.5000 0.5000 0.1624
F 0.1750 0.1750 0.8467
F 0.1950 0.1950 0.1380
F 0.2294 0.2294 0.5103
F 0.2706 0.7294 0.0103
F 0.3050 0.6950 0.6380
F 0.3250 0.6750 0.3467
F 0.6750 0.3250 0.3467
F 0.6950 0.3050 0.6380
F 0.7294 0.2706 0.0103
F 0.7706 0.7706 0.5103
F 0.8050 0.8050 0.1380
F 0.8250 0.8250 0.8467
```